Entry 1:
Density functional theory data (PBE) for a relaxed Ac3In2CuPd6 crystal.

As for the energy of formation from the pure elements: -0.637 eV/atom.

The space group is P-3m1 (No. 164) and the conventional cell measures 5.9386, 5.9386 and 9.0309 Å, with angles of 90.00, 90.00 and 120.00 degrees. The asymmetric unit holds Ac at (0.0000, 0.0000, 0.0000), Ac at (0.3333, 0.6667, 0.6183), In at (0.3333, 0.6667, 0.0321), Cu at (0.0000, 0.0000, 0.5000) and Pd at (0.1714, 0.3428, 0.2891).



Entry 2:
Density functional theory data (PBE) for a relaxed ReRh2W crystal.

As for the energy of formation from the pure elements: 0.001 eV/atom. As for the energy above the most stable polymorph in this dataset: 200 meV/atom.

The space group is R3m (No. 160, hexagonal axes) and the conventional cell measures 2.7697, 2.7697 and 27.0791 Å, with angles of 90.00, 90.00 and 120.00 degrees. The asymmetric unit holds Re at (0.0000, 0.0000, 0.0000), Rh at (0.0000, 0.0000, 0.2553), Rh at (0.0000, 0.0000, 0.5019) and W at (0.0000, 0.0000, 0.7561).



Entry 3:
Density functional theory data (PBE) for a relaxed CsNaCd2Pd crystal.

As for the energy of formation from the pure elements: 0.702 eV/atom. As for the energy above the most stable polymorph in this dataset: 841 meV/atom.

The space group is P4/mmm (No. 123) and the conventional cell measures 6.891, 6.891 and 5.541 Å, with angles of 90.00, 90.00 and 90.00 degrees. The asymmetric unit holds Cs at (0.000, 0.000, 0.000), Na at (0.500, 0.500, 0.500), Cd at (0.000, 0.500, 0.000) and Pd at (0.000, 0.000, 0.500).



Entry 4:
Density functional theory data (PBE) for a relaxed DyHo2Pt2 crystal.

As for the energy of formation from the pure elements: -1.081 eV/atom. As for the energy above the most stable polymorph in this dataset: 0 meV/atom.

The space group is P4/mbm (No. 127) and the conventional cell measures 7.712, 7.712 and 3.962 Å, with angles of 90.00, 90.00 and 90.00 degrees. The asymmetric unit holds Dy at (0.000, 0.000, 0.000), Ho at (0.160, 0.340, 0.500) and Pt at (0.139, 0.639, 0.000).